Sm5Ho2Th3 | PBE | relaxed

Values from the calculation:
As for the crystal system: monoclinic. The value obtained for the size of the total moment is 0.00 μB per cell. The uncorrected energy is -5.456 eV/atom. The volume is 32.75 Å³ per atom. The formation energy is 0.05 eV per atom.

Lattice parameters (Å, degrees): 5.072 6.220 12.974 61.20 78.73 65.94
Fractional coordinates of all 10 atoms:
Sm 0.199 0.002 0.600
Sm 0.301 0.500 0.898
Sm 0.699 0.500 0.102
Sm 0.801 0.998 0.400
Sm 0.000 0.000 0.000
Th 0.098 0.503 0.301
Th 0.902 0.497 0.699
Th 0.500 0.500 0.500
Ho 0.402 0.991 0.204
Ho 0.598 0.009 0.796